Computed, not measured: crystalline Li2Pr2SbPd5 at its relaxed geometry at the PBE level of DFT.

Geometry as POSCAR:
```
Li2Pr2SbPd5
1.0
3.848 0.000 0.000
0.000 9.753 0.000
0.000 0.000 9.753
Sb Pd Pr Li
2 10 4 4
direct
0.000 0.500 0.500 Sb
0.000 0.000 0.000 Sb
0.500 0.500 0.000 Pd
0.500 0.067 0.788 Pd
0.500 0.212 0.067 Pd
0.500 0.000 0.500 Pd
0.500 0.788 0.933 Pd
0.500 0.712 0.433 Pd
0.500 0.288 0.567 Pd
0.500 0.567 0.712 Pd
0.500 0.433 0.288 Pd
0.500 0.933 0.212 Pd
0.000 0.678 0.178 Pr
0.000 0.322 0.822 Pr
0.000 0.822 0.678 Pr
0.000 0.178 0.322 Pr
0.000 0.882 0.382 Li
0.000 0.118 0.618 Li
0.000 0.618 0.882 Li
0.000 0.382 0.118 Li
```

Summary:
ΔE_f (raw) (eV/f.u.): -6.42



Computed, not measured: crystalline LiPr2Sb3Pd4 at its relaxed geometry at the PBE level of DFT.

Geometry as POSCAR:
```
LiPr2Sb3Pd4
1.0
-1.457 -3.527 2.448
3.100 -2.653 -1.978
6.962 2.433 7.648
Pr Sb Pd Li
2 3 4 1
direct
0.500 0.000 0.240 Pr
0.000 0.500 0.760 Pr
0.500 0.000 0.862 Sb
0.000 0.500 0.138 Sb
0.000 0.000 0.500 Sb
0.500 0.500 0.000 Pd
0.000 0.000 0.000 Pd
0.000 0.500 0.380 Pd
0.500 0.000 0.620 Pd
0.500 0.500 0.500 Li
```

Summary:
ΔE_f (raw) (eV/f.u.): -8.65



Computed, not measured: crystalline LiPr2Sb4Pd3 at its relaxed geometry at the PBE level of DFT.

Geometry as POSCAR:
```
LiPr2Sb4Pd3
1.0
-0.198 4.080 -1.826
-3.572 -1.244 -2.391
-6.905 3.473 8.508
Sb Pd Li Pr
4 3 1 2
direct
0.000 0.500 0.367 Sb
0.500 0.500 0.000 Sb
0.500 0.000 0.633 Sb
0.000 0.000 0.000 Sb
0.000 0.500 0.138 Pd
0.500 0.000 0.862 Pd
0.000 0.000 0.500 Pd
0.500 0.500 0.500 Li
0.000 0.500 0.741 Pr
0.500 0.000 0.259 Pr
```

Summary:
ΔE_f (raw) (eV/f.u.): -8.16



Number 3 is which compound?
LiPr2Sb4Pd3



ΔE_f (raw) of number 1 (Li2Pr2SbPd5)?
-6.42 eV/f.u.



Which value of ΔE_f (raw) does entry 3 give?
-8.16 eV/f.u.



What is the formula in the second record?
LiPr2Sb3Pd4